No. 1
Material: BRuW2Br
Method: DFT, SCAN
State: single point on PBEsol structure

formation energy (no corrections) = 1722.0 meV/atom
space group = P4/mmm

Unit cell a=4.148 b=4.148 c=4.379 alpha=90.00 beta=90.00 gamma=90.00
Fractional positions:
Ru: 0.500 0.500 0.500
B: 0.000 0.000 0.000
Br: 0.000 0.000 0.500
W: 0.000 0.500 0.000
W: 0.500 0.000 0.000



No. 2
Material: BSBr
Method: DFT, SCAN
State: single point on PBEsol structure

formation energy (no corrections) = -569.4 meV/atom
space group = P2_1/c

Unit cell a=4.165 b=13.864 c=17.528 alpha=109.84 beta=90.00 gamma=90.00
Fractional positions:
B: 0.461 0.942 0.774
B: 0.955 0.662 0.901
B: 0.045 0.338 0.099
B: 0.307 0.545 0.169
B: 0.693 0.455 0.831
B: 0.193 0.045 0.669
B: 0.039 0.442 0.274
B: 0.539 0.058 0.226
B: 0.455 0.838 0.599
B: 0.961 0.558 0.726
B: 0.545 0.162 0.401
B: 0.807 0.955 0.331
S: 0.767 0.443 0.727
S: 0.569 0.826 0.694
S: 0.267 0.057 0.773
S: 0.931 0.326 0.194
S: 0.431 0.174 0.306
S: 0.069 0.674 0.806
S: 0.732 0.058 0.425
S: 0.733 0.943 0.227
S: 0.768 0.558 0.925
S: 0.232 0.442 0.075
S: 0.268 0.942 0.575
S: 0.233 0.557 0.273
Br: 0.452 0.280 0.495
Br: 0.433 0.059 0.119
Br: 0.010 0.838 0.345
Br: 0.548 0.720 0.505
Br: 0.933 0.441 0.381
Br: 0.048 0.780 0.995
Br: 0.952 0.220 0.005
Br: 0.490 0.338 0.845
Br: 0.990 0.162 0.655
Br: 0.067 0.559 0.619
Br: 0.567 0.941 0.881
Br: 0.510 0.662 0.155



| no. | N(E_F) (states/eV/cell) | total magnetization (Bohr magnetons per cell) |
| --- | --- | --- |
| 1 | 5.27 | 0.00 |
| 2 | 0.00 | 0.00 |